DFT (PBE+U) results for MnF3 after structural relaxation.

Computed properties:
SG: No. 44
Total magnetization in μB/f.u.: 4.00
E_tot in eV/atom: -5.4011

a = 4.8795 Å, b = 4.8795 Å, c = 4.8795 Å
α = 146.63°, β = 67.93°, γ = 122.73°
Element x y z (fractional)
Mn 0.0000 0.0000 0.0000
F 0.2738 0.6186 0.6552
F 0.6734 0.1734 0.5000
F 0.9634 0.6186 0.3448